a.
The following is a DFT calculation (GGA-PBE) of a relaxed structure of YSiP3.

Output
- Magnetization: 0.000 μB per formula unit

a = 4.5798 Å, b = 4.5798 Å, c = 4.5798 Å
α = 90.00°, β = 90.00°, γ = 90.00°
Space group Pm-3m (No. 221)
Inequivalent atoms, fractional coordinates:
Y (0.0000, 0.0000, 0.0000)
Si (0.5000, 0.5000, 0.5000)
P (0.0000, 0.5000, 0.5000)

***

b.
The following is a DFT calculation (GGA-PBE) of a relaxed structure of YSiP3.

Output
- Magnetization: 0.000 μB per formula unit

a = 5.2011 Å, b = 5.2011 Å, c = 5.2011 Å
α = 90.00°, β = 90.00°, γ = 90.00°
Space group Pm-3m (No. 221)
Inequivalent atoms, fractional coordinates:
Y (0.0000, 0.0000, 0.0000)
Si (0.5000, 0.5000, 0.5000)
P (0.0000, 0.0000, 0.5000)

***

Stability, lowest: b

***

a.
The following is a DFT calculation (GGA-PBE) of a relaxed structure of ZnSi2P.

Output
- Magnetization: 0.000 μB per formula unit

a = 3.5868 Å, b = 3.5868 Å, c = 9.7487 Å
α = 90.00°, β = 90.00°, γ = 90.00°
Space group I4/mmm (No. 139)
Inequivalent atoms, fractional coordinates:
Zn (0.0000, 0.0000, 0.0000)
Si (0.0000, 0.5000, 0.2500)
P (0.0000, 0.0000, 0.5000)

***

b.
The following is a DFT calculation (GGA-PBE) of a relaxed structure of ZnSi2P.

Output
- Magnetization: 0.000 μB per formula unit

a = 2.6559 Å, b = 2.6559 Å, c = 8.6858 Å
α = 90.00°, β = 90.00°, γ = 90.00°
Space group P4mm (No. 99)
Inequivalent atoms, fractional coordinates:
Zn (0.0000, 0.0000, 0.0000)
Si (0.0000, 0.0000, 0.5349)
Si (0.5000, 0.5000, 0.7606)
P (0.5000, 0.5000, 0.2395)

***

Stability, lowest: b

***

a.
The following is a DFT calculation (GGA-PBE) of a relaxed structure of ZnSi2P.

Output
- Magnetization: 0.000 μB per formula unit

a = 3.0390 Å, b = 3.6037 Å, c = 6.4580 Å
α = 90.00°, β = 90.00°, γ = 90.00°
Space group Pmm2 (No. 25)
Inequivalent atoms, fractional coordinates:
Zn (0.0000, 0.0000, 0.0000)
Si (0.0000, 0.0000, 0.6245)
Si (0.5000, 0.5000, 0.4893)
P (0.5000, 0.5000, 0.1395)

***

b.
The following is a DFT calculation (GGA-PBE) of a relaxed structure of ZnSi2P.

Output
- Magnetization: 0.000 μB per formula unit

a = 2.6370 Å, b = 4.6739 Å, c = 9.6449 Å
α = 90.00°, β = 90.00°, γ = 90.00°
Space group Cmmm (No. 65)
Inequivalent atoms, fractional coordinates:
Zn (0.0000, 0.0000, 0.0000)
Si (0.0000, 0.5000, 0.2528)
P (0.0000, 0.0000, 0.5000)

***

c.
The following is a DFT calculation (GGA-PBE) of a relaxed structure of ZnSi2P.

Output
- Magnetization: 0.000 μB per formula unit

a = 6.2314 Å, b = 6.2314 Å, c = 6.2314 Å
α = 90.00°, β = 90.00°, γ = 90.00°
Space group Fm-3m (No. 225)
Inequivalent atoms, fractional coordinates:
Zn (0.0000, 0.0000, 0.0000)
Si (0.2500, 0.2500, 0.2500)
P (0.0000, 0.0000, 0.5000)

***

d.
The following is a DFT calculation (GGA-PBE) of a relaxed structure of ZnSi2P.

Output
- Magnetization: 0.000 μB per formula unit

a = 2.6586 Å, b = 2.6586 Å, c = 29.3583 Å
α = 90.00°, β = 90.00°, γ = 120.00°
Space group R-3m (No. 166, hexagonal axes)
Inequivalent atoms, fractional coordinates:
Zn (0.0000, 0.0000, 0.0000)
Si (0.0000, 0.0000, 0.2458)
P (0.0000, 0.0000, 0.5000)

***

Stability, lowest: c

***

a.
The following is a DFT calculation (GGA-PBE) of a relaxed structure of ZnSi3P.

Output
- Magnetization: 0.000 μB per formula unit

a = 4.5449 Å, b = 4.5449 Å, c = 4.5449 Å
α = 90.00°, β = 90.00°, γ = 90.00°
Space group Pm-3m (No. 221)
Inequivalent atoms, fractional coordinates:
Zn (0.0000, 0.0000, 0.0000)
Si (0.0000, 0.5000, 0.5000)
P (0.5000, 0.5000, 0.5000)

***

b.
The following is a DFT calculation (GGA-PBE) of a relaxed structure of ZnSi3P.

Output
- Magnetization: 0.000 μB per formula unit

a = 4.6197 Å, b = 4.6197 Å, c = 4.6197 Å
α = 90.00°, β = 90.00°, γ = 90.00°
Space group Pm-3m (No. 221)
Inequivalent atoms, fractional coordinates:
Zn (0.0000, 0.0000, 0.0000)
Si (0.0000, 0.0000, 0.5000)
P (0.5000, 0.5000, 0.5000)

***

Stability, lowest: b

***

a.
The following is a DFT calculation (GGA-PBE) of a relaxed structure of Zr2SiP.

Output
- Magnetization: 0.000 μB per formula unit

a = 6.5963 Å, b = 6.5963 Å, c = 6.5963 Å
α = 90.00°, β = 90.00°, γ = 90.00°
Space group Fm-3m (No. 225)
Inequivalent atoms, fractional coordinates:
Zr (0.2500, 0.2500, 0.2500)
Si (0.0000, 0.0000, 0.0000)
P (0.0000, 0.0000, 0.5000)

***

b.
The following is a DFT calculation (GGA-PBE) of a relaxed structure of Zr2SiP.

Output
- Magnetization: 0.000 μB per formula unit

a = 3.9356 Å, b = 3.6672 Å, c = 9.6375 Å
α = 90.00°, β = 90.00°, γ = 90.00°
Space group Amm2 (No. 38)
Inequivalent atoms, fractional coordinates:
Zr (0.0000, 0.0000, 0.0000)
Zr (0.5000, 0.0000, 0.2834)
Si (0.0000, 0.0000, 0.7205)
P (0.5000, 0.0000, 0.5619)

***

Stability, lowest: a

***

a.
The following is a DFT calculation (GGA-PBE) of a relaxed structure of Zr2SiP.

Output
- Magnetization: 0.000 μB per formula unit

a = 5.9636 Å, b = 5.9636 Å, c = 11.9792 Å
α = 90.00°, β = 90.00°, γ = 90.00°
Space group I-42d (No. 122)
Inequivalent atoms, fractional coordinates:
Zr (0.2411, 0.2500, 0.1250)
Si (0.0000, 0.0000, 0.5000)
P (0.0000, 0.0000, 0.0000)

***

b.
The following is a DFT calculation (GGA-PBE) of a relaxed structure of Zr2SiP.

Output
- Magnetization: 0.000 μB per formula unit

a = 3.7788 Å, b = 3.7788 Å, c = 5.3646 Å
α = 90.00°, β = 90.00°, γ = 90.00°
Space group P4/mmm (No. 123)
Inequivalent atoms, fractional coordinates:
Zr (0.0000, 0.0000, 0.0000)
Zr (0.5000, 0.5000, 0.5000)
Si (0.0000, 0.0000, 0.5000)
P (0.5000, 0.5000, 0.0000)

***

Stability, lowest: a

***

a.
The following is a DFT calculation (GGA-PBE) of a relaxed structure of TbSmP2.

Output
- Magnetization: 0.000 μB per formula unit

a = 4.0221 Å, b = 4.0221 Å, c = 20.7913 Å
α = 90.00°, β = 90.00°, γ = 120.00°
Space group R3m (No. 160, hexagonal axes)
Inequivalent atoms, fractional coordinates:
Tb (0.0000, 0.0000, 0.0000)
Sm (0.0000, 0.0000, 0.1715)
P (0.0000, 0.0000, 0.4165)
P (0.0000, 0.0000, 0.5882)

***

b.
The following is a DFT calculation (GGA-PBE) of a relaxed structure of TbSmP2.

Output
- Magnetization: 0.000 μB per formula unit

a = 4.0704 Å, b = 4.0704 Å, c = 19.9123 Å
α = 90.00°, β = 90.00°, γ = 120.00°
Space group R-3m (No. 166, hexagonal axes)
Inequivalent atoms, fractional coordinates:
Tb (0.0000, 0.0000, 0.0000)
Sm (0.0000, 0.0000, 0.5000)
P (0.0000, 0.0000, 0.2516)

***

Stability, lowest: a

***

a.
The following is a DFT calculation (GGA-PBE) of a relaxed structure of SmTc3P3.

Output
- Magnetization: 0.000 μB per formula unit

a = 6.4511 Å, b = 6.4511 Å, c = 6.4511 Å
α = 90.00°, β = 90.00°, γ = 90.00°
Space group Pm-3n (No. 223)
Inequivalent atoms, fractional coordinates:
Sm (0.0000, 0.0000, 0.0000)
Tc (0.0000, 0.2500, 0.5000)
P (0.0000, 0.5000, 0.2500)

***

b.
The following is a DFT calculation (GGA-PBE) of a relaxed structure of SmTc3P3.

Output
- Magnetization: 0.000 μB per formula unit

a = 6.6907 Å, b = 6.6907 Å, c = 20.2399 Å
α = 90.00°, β = 90.00°, γ = 120.00°
Space group R-3 (No. 148, hexagonal axes)
Inequivalent atoms, fractional coordinates:
Sm (0.0000, 0.0000, 0.1659)
Tc (0.0204, 0.3124, 0.7110)
P (0.0153, 0.3032, 0.5931)

***

Stability, lowest: a

***

a.
The following is a DFT calculation (GGA-PBE) of a relaxed structure of Sm2TeP.

Output
- Magnetization: 0.000 μB per formula unit

a = 4.2031 Å, b = 4.2031 Å, c = 21.6973 Å
α = 90.00°, β = 90.00°, γ = 120.00°
Space group R-3m (No. 166, hexagonal axes)
Inequivalent atoms, fractional coordinates:
Sm (0.0000, 0.0000, 0.2374)
Te (0.0000, 0.0000, 0.0000)
P (0.0000, 0.0000, 0.5000)

***

b.
The following is a DFT calculation (GGA-PBE) of a relaxed structure of Sm2TeP.

Output
- Magnetization: 0.000 μB per formula unit

a = 4.1620 Å, b = 4.1620 Å, c = 22.2265 Å
α = 90.00°, β = 90.00°, γ = 120.00°
Space group R3m (No. 160, hexagonal axes)
Inequivalent atoms, fractional coordinates:
Sm (0.0000, 0.0000, 0.0000)
Sm (0.0000, 0.0000, 0.1930)
Te (0.0000, 0.0000, 0.4293)
P (0.0000, 0.0000, 0.5981)

***

Stability, lowest: b

***

a.
The following is a DFT calculation (GGA-PBE) of a relaxed structure of Sm3Te2P.

Output
- Magnetization: 0.000 μB per formula unit

a = 7.4493 Å, b = 12.8730 Å, c = 7.6351 Å
α = 90.00°, β = 108.97°, γ = 90.00°
Space group C2/m (No. 12)
Inequivalent atoms, fractional coordinates:
Sm (0.2135, 0.0000, 0.2151)
Sm (0.2467, 0.1788, 0.7797)
Te (0.0000, 0.0000, 0.5000)
Te (0.0000, 0.3413, 0.5000)
Te (0.0000, 0.5000, 0.0000)
P (0.0000, 0.1681, 0.0000)

***

b.
The following is a DFT calculation (GGA-PBE) of a relaxed structure of Sm3Te2P.

Output
- Magnetization: 0.000 μB per formula unit

a = 7.6675 Å, b = 12.9492 Å, c = 7.4068 Å
α = 90.00°, β = 109.61°, γ = 90.00°
Space group C2/c (No. 15)
Inequivalent atoms, fractional coordinates:
Sm (0.2081, 0.0716, 0.4950)
Sm (0.2500, 0.2500, 0.0000)
Te (0.0000, 0.2607, 0.2500)
Te (0.0000, 0.4202, 0.7500)
P (0.0000, 0.0894, 0.7500)

***

Stability, lowest: b

***

a.
The following is a DFT calculation (GGA-PBE) of a relaxed structure of Sm2TlP.

Output
- Magnetization: 0.000 μB per formula unit

a = 3.9746 Å, b = 3.9746 Å, c = 24.8972 Å
α = 90.00°, β = 90.00°, γ = 120.00°
Space group R3m (No. 160, hexagonal axes)
Inequivalent atoms, fractional coordinates:
Sm (0.0000, 0.0000, 0.0000)
Sm (0.0000, 0.0000, 0.2017)
Tl (0.0000, 0.0000, 0.7674)
P (0.0000, 0.0000, 0.5999)

***

b.
The following is a DFT calculation (GGA-PBE) of a relaxed structure of Sm2TlP.

Output
- Magnetization: 0.000 μB per formula unit

a = 4.0213 Å, b = 4.0213 Å, c = 24.0434 Å
α = 90.00°, β = 90.00°, γ = 120.00°
Space group R-3m (No. 166, hexagonal axes)
Inequivalent atoms, fractional coordinates:
Sm (0.0000, 0.0000, 0.2345)
Tl (0.0000, 0.0000, 0.0000)
P (0.0000, 0.0000, 0.5000)

***

Stability, lowest: a

***

a.
The following is a DFT calculation (GGA-PBE) of a relaxed structure of Sm2UP3.

Output
- Magnetization: 2.299 μB per formula unit

a = 4.0499 Å, b = 4.0499 Å, c = 17.1272 Å
α = 90.00°, β = 90.00°, γ = 90.00°
Space group I4/mmm (No. 139)
Inequivalent atoms, fractional coordinates:
Sm (0.0000, 0.0000, 0.1677)
U (0.0000, 0.0000, 0.5000)
P (0.0000, 0.0000, 0.0000)
P (0.0000, 0.0000, 0.3379)

***

b.
The following is a DFT calculation (GGA-PBE) of a relaxed structure of Sm2UP3.

Output
- Magnetization: 2.152 μB per formula unit

a = 4.0246 Å, b = 5.7114 Å, c = 12.1904 Å
α = 90.00°, β = 90.00°, γ = 90.00°
Space group Immm (No. 71)
Inequivalent atoms, fractional coordinates:
Sm (0.0000, 0.0000, 0.1680)
U (0.0000, 0.0000, 0.5000)
P (0.0000, 0.5000, 0.1576)
P (0.0000, 0.5000, 0.5000)

***

Stability, lowest: a